Material: TaAg2AsBr
Method: DFT, PBE
State: relaxed

As for the volume: 130 Å³ per cell. The crystal system is tetragonal. For the total energy, the calculation gives -3.237 eV/atom.

abc: 4.904 4.904 5.404
angles: 90.00 90.00 90.00
Fractional positions:
Ta 0.000 0.000 0.000
Ag 0.000 0.500 0.500
Ag 0.500 0.000 0.500
As 0.500 0.500 0.000
Br 0.500 0.500 0.500